# LiMg2VO4 | the Alexandria database | GGA+U | relaxed
data_LiMg2VO4
_chemical_formula_sum 'Li1 Mg2 V1 O4'
_space_group_name_H-M_alt 'P 1 2/m 1'
_space_group_IT_number 10
_cell_length_a 5.122
_cell_length_b 3.029
_cell_length_c 5.130
_cell_angle_alpha 90.00
_cell_angle_beta 107.89
_cell_angle_gamma 90.00
loop_
_space_group_symop_operation_xyz
'x,y,z'
'-x,-y,-z'
'-x,y,-z'
'x,-y,z'
loop_
_atom_site_label
_atom_site_type_symbol
_atom_site_fract_x
_atom_site_fract_y
_atom_site_fract_z
Li1 Li 0.000 0.000 0.000
Mg1 Mg 0.500 0.000 0.500
Mg2 Mg 0.500 0.500 0.000
V1 V 0.000 0.500 0.500
O1 O 0.247 0.000 0.746
O2 O 0.255 0.500 0.267
# Total moment in μB per formula unit: 2.00
# Uncorrected energy in eV/atom: -6.421